[1]
Computed, not measured: K2MgNb2P2C2O14 after structural relaxation at the PBE-GGA level of DFT.

Summary:
The formation energy from raw total energies comes out at -1948 meV/atom. The value obtained for the density of states at the Fermi level is 6.7 states/eV/f.u.

a = 5.2037 Å, b = 6.7183 Å, c = 10.1675 Å
α = 88.89°, β = 85.12°, γ = 81.63°
Sites, in units of the cell vectors:
K1 0.0000 0.0000 0.0000
K2 0.4473 0.3591 0.5776
Mg1 0.6293 0.8258 0.6084
Nb1 0.5428 0.5719 0.1285
Nb2 0.9693 0.0488 0.4183
P1 0.0116 0.5509 0.3625
P2 0.4676 0.0852 0.2047
C1 0.1042 0.0296 0.6666
C2 0.5458 0.6194 0.8741
O1 0.1690 0.0979 0.2314
O2 0.1814 0.0952 0.7666
O3 0.2717 0.9621 0.5631
O4 0.2978 0.5746 0.3221
O5 0.3308 0.6494 0.9523
O6 0.5310 0.2653 0.1135
O7 0.5441 0.6417 0.7470
O8 0.5683 0.8885 0.1269
O9 0.6032 0.0935 0.3342
O10 0.7577 0.5653 0.9316
O11 0.8545 0.0325 0.6438
O12 0.8580 0.5444 0.2413
O13 0.8861 0.7341 0.4550
O14 0.9907 0.3614 0.4525



[2]
Computed, not measured: KMgC2O10 after structural relaxation at the PBE-GGA level of DFT.

Summary:
The formation energy from raw total energies comes out at -1136 meV/atom. As for the offset from the most stable computed form: 0 meV per atom. The value obtained for the density of states at the Fermi level is 0.6 states/eV/f.u.

a = 4.6542 Å, b = 6.8738 Å, c = 7.2695 Å
α = 83.53°, β = 82.49°, γ = 79.32°
Sites, in units of the cell vectors:
K1 0.0000 0.0000 0.0000
Mg1 0.0000 0.5000 0.5000
C1 0.4905 0.3306 0.7532
C2 0.5095 0.6694 0.2468
O1 0.2526 0.6757 0.3418
O2 0.2652 0.2135 0.3519
O3 0.2684 0.4561 0.6977
O4 0.4580 0.2136 0.8996
O5 0.4647 0.8402 0.6676
O6 0.5353 0.1598 0.3324
O7 0.5420 0.7864 0.1004
O8 0.7316 0.5439 0.3023
O9 0.7348 0.7865 0.6481
O10 0.7474 0.3243 0.6582



[3]
Computed, not measured: KMgC2O10 after structural relaxation at the PBE-GGA level of DFT.

Summary:
The formation energy from raw total energies comes out at -1121 meV/atom. As for the offset from the most stable computed form: 15 meV per atom. The value obtained for the density of states at the Fermi level is 5.5 states/eV/f.u.

a = 5.1063 Å, b = 6.2593 Å, c = 7.1710 Å
α = 71.60°, β = 71.66°, γ = 68.64°
Sites, in units of the cell vectors:
K1 0.0000 0.0000 0.0000
Mg1 0.0000 0.5000 0.5000
C1 0.4061 0.4588 0.7421
C2 0.5939 0.5412 0.2579
O1 0.2115 0.1380 0.4107
O2 0.2465 0.3595 0.7081
O3 0.2882 0.6398 0.8151
O4 0.3152 0.6321 0.2975
O5 0.3222 0.1150 0.2354
O6 0.6778 0.8850 0.7646
O7 0.6848 0.3679 0.7025
O8 0.7118 0.3602 0.1849
O9 0.7535 0.6405 0.2919
O10 0.7885 0.8620 0.5893